Computed, not measured: crystalline AlInGa2As at its relaxed geometry at the PBE level of DFT.

Cell: 5.0044 5.0044 5.3981 Å, 90.00 90.00 90.00°
Space group P4/mmm (No. 123)
Symmetry-distinct sites (fractional):
Al 0.0000 0.0000 0.0000 [1 per cell]
In 0.5000 0.5000 0.0000 [1 per cell]
Ga 0.0000 0.5000 0.5000 [2 per cell]
As 0.5000 0.5000 0.5000 [1 per cell]

Properties
The value obtained for the formation enthalpy at 0 K is 2.57 eV per formula unit. Its total magnetic moment is 0.0 μB per cell.